VASP calculation (PBE) on crystalline Ta2TeOs at its relaxed geometry.

Computed properties:
SG = P4mm (99)
formation energy from raw total energies = 57 kJ/mol of formula units

Lattice parameters (Å, degrees): 3.3448 3.3448 6.6591 90.00 90.00 90.00
Last column: nearest neighbours and their distance in Å.
Fractional coordinates of all 4 atoms:
Ta: 0.0000 0.0000 0.0000  4 Os 2.69, 4 Ta 2.98
Ta: 0.5000 0.5000 0.2725  4 Te 2.82, 4 Ta 2.98, 1 Os 3.09
Te: 0.0000 0.0000 0.5030  4 Ta 2.82, 4 Os 3.12
Os: 0.5000 0.5000 0.8089  4 Ta 2.69